Entry 1:
Here is Rb2TlHg after structural relaxation from OQMD via LeMat-Bulk. Energies are from PBE.

Lattice parameters (Å, degrees): 5.9374 5.9374 5.9374 60.00 60.00 60.00
With the nearest neighbours (Å) after each atom.
Atoms (fractional coordinates):
Rb (0.0000, 0.0000, 0.0000)  4 Tl 3.64, 4 Rb 3.64
Rb (0.2500, 0.2500, 0.2500)  4 Hg 3.64, 4 Rb 3.64
Tl (0.7500, 0.7500, 0.7500)  4 Hg 3.64, 4 Rb 3.64
Hg (0.5000, 0.5000, 0.5000)  4 Tl 3.64, 4 Rb 3.64

E = -4.68 eV/cell
SG = F-43m
Crystal system = cubic



Entry 2:
Here is RbTlHg after structural relaxation from OQMD via LeMat-Bulk. Energies are from PBE.

Lattice parameters (Å, degrees): 5.7994 5.7994 5.7994 60.00 60.00 60.00
With the nearest neighbours (Å) after each atom.
Atoms (fractional coordinates):
Rb (0.0000, 0.0000, 0.0000)  4 Hg 3.55, 4 Tl 3.55
Tl (0.2500, 0.2500, 0.2500)  4 Rb 3.55
Hg (0.7500, 0.7500, 0.7500)  4 Rb 3.55

SG = F-43m
Crystal system = cubic
Excess energy over the best structure of this formula in the dataset = 217 meV per atom